Here is InReAs after structural relaxation from the Alexandria database. Energies are from GGA-PBE.

a = 4.6974 Å, b = 4.6974 Å, c = 2.8157 Å
α = 90.00°, β = 90.00°, γ = 120.00°
Space group P-6m2 (No. 187)
Asymmetric unit:
In 0.0000 0.0000 0.0000 [1 per cell]
Re 0.3333 0.6667 0.5000 [1 per cell]
As 0.6667 0.3333 0.5000 [1 per cell]

Calculated values
V in Å³/cell: 54
N(E_F) in states/eV per atom: 1.27
Formation energy in eV/f.u.: 1.79
Total moment in μB/cell: 0.00
Theoretical density in Mg/m³: 11.6
ΔE to the lowest computed polymorph in eV per atom: 0.384